! PBE KCu2AuCl8, optimized geometry; values from VASP
&SYSTEM
  ibrav = 0, nat = 12, ntyp = 4
/
ATOMIC_SPECIES
K 39.10 K.upf
Cu 63.55 Cu.upf
Au 196.97 Au.upf
Cl 35.45 Cl.upf
CELL_PARAMETERS angstrom
6.796 0.000 0.000
-0.465 7.537 0.000
-1.608 -1.101 8.345
ATOMIC_POSITIONS crystal
K 0.000 0.000 0.000
Cu 0.252 0.505 0.506
Cu 0.748 0.495 0.494
Au 0.500 0.000 0.000
Cl 0.016 0.357 0.614
Cl 0.272 0.907 0.762
Cl 0.360 0.271 0.031
Cl 0.487 0.656 0.400
Cl 0.513 0.344 0.600
Cl 0.640 0.729 0.969
Cl 0.728 0.093 0.238
Cl 0.984 0.643 0.386
! - Formation energy from raw total energies: -0.6466 eV per atom
! - SG: P-1, No. 2
! - DOS(E_F): 1.15 states/eV per cell
! - Total magnetic moment: 1.98 Bohr magnetons per cell